Entry 1:
# TbDyBi | Alexandria | PBE | optimized geometry
data_TbDyBi
_chemical_formula_sum 'Tb4 Dy4 Bi4'
_cell_length_a 11.5047
_cell_length_b 4.0614
_cell_length_c 8.1067
_cell_angle_alpha 90.00
_cell_angle_beta 110.70
_cell_angle_gamma 90.00
_space_group_name_H-M_alt 'C 1 2/m 1'
_space_group_IT_number 12
loop_
_space_group_symop_operation_xyz
'x,y,z'
'-x,-y,-z'
'-x,y,-z'
'x,-y,z'
'x+1/2,y+1/2,z'
'-x+1/2,-y+1/2,-z'
'-x+1/2,y+1/2,-z'
'x+1/2,-y+1/2,z'
loop_
_atom_site_label
_atom_site_type_symbol
_atom_site_fract_x
_atom_site_fract_y
_atom_site_fract_z
_atom_site_occupancy
Tb1 Tb 0.1575 0.0000 0.0798 1
Dy1 Dy 0.1570 0.0000 0.5770 1
Bi1 Bi 0.0018 0.5000 0.7504 1
# - Density: 9.94 g/cm³
# - Size of the total moment: 1.0 μB/f.u.
# - Energy relative to the elements: -466.5 meV per atom


Entry 2:
# Cs2Tb2USe6 | Alexandria | PBE | optimized geometry
data_Cs2Tb2USe6
_chemical_formula_sum 'Cs4 Tb4 U2 Se12'
_cell_length_a 7.2933
_cell_length_b 12.6177
_cell_length_c 8.9358
_cell_angle_alpha 90.00
_cell_angle_beta 106.13
_cell_angle_gamma 90.00
_space_group_name_H-M_alt 'C 1 2/m 1'
_space_group_IT_number 12
loop_
_space_group_symop_operation_xyz
'x,y,z'
'-x,-y,-z'
'-x,y,-z'
'x,-y,z'
'x+1/2,y+1/2,z'
'-x+1/2,-y+1/2,-z'
'-x+1/2,y+1/2,-z'
'x+1/2,-y+1/2,z'
loop_
_atom_site_label
_atom_site_type_symbol
_atom_site_fract_x
_atom_site_fract_y
_atom_site_fract_z
_atom_site_occupancy
Cs1 Cs 0.0000 0.1684 0.0000 1
Tb1 Tb 0.0000 0.3333 0.5000 1
U1 U 0.0000 0.0000 0.5000 1
Se1 Se 0.2261 0.1641 0.6822 1
Se2 Se 0.2338 0.5000 0.6817 1
# - Density: 5.45 g/cm³
# - Formation energy (no corrections): -1.60 eV/atom
# - Size of the total moment: 2.0 μB/f.u.


Entry 3:
# Tb3Co2Si2 | Alexandria | PBE | optimized geometry
data_Tb3Co2Si2
_chemical_formula_sum 'Tb12 Co8 Si8'
_cell_length_a 5.5354
_cell_length_b 7.6579
_cell_length_c 12.5817
_cell_angle_alpha 90.00
_cell_angle_beta 90.00
_cell_angle_gamma 90.00
_space_group_name_H-M_alt 'P b c m'
_space_group_IT_number 57
loop_
_space_group_symop_operation_xyz
'x,y,z'
'-x,-y,-z'
'-x,-y,z+1/2'
'x,y,-z+1/2'
'x,-y+1/2,-z'
'-x,y+1/2,z'
'-x,y+1/2,-z+1/2'
'x,-y+1/2,z+1/2'
loop_
_atom_site_label
_atom_site_type_symbol
_atom_site_fract_x
_atom_site_fract_y
_atom_site_fract_z
_atom_site_occupancy
Tb1 Tb 0.1320 0.2481 0.2500 1
Tb2 Tb 0.3603 0.6076 0.6013 1
Co1 Co 0.1304 0.5282 0.0866 1
Si1 Si 0.1112 0.2500 0.0000 1
Si2 Si 0.3431 0.5970 0.2500 1
# - Density: 8.11 g/cm³
# - Formation energy (no corrections): -0.63 eV/atom
# - Size of the total moment: 0.0 μB/f.u.


Entry 4:
# Pm2GeAs | Alexandria | PBE | optimized geometry
data_Pm2GeAs
_chemical_formula_sum 'Pm8 Ge4 As4'
_cell_length_a 7.3527
_cell_length_b 7.3527
_cell_length_c 7.3527
_cell_angle_alpha 90.00
_cell_angle_beta 90.00
_cell_angle_gamma 90.00
_space_group_name_H-M_alt 'F m -3 m'
_space_group_IT_number 225
_space_group_name_Hall '-F 4 2 3'
loop_
_atom_site_label
_atom_site_type_symbol
_atom_site_fract_x
_atom_site_fract_y
_atom_site_fract_z
_atom_site_occupancy
Pm1 Pm 0.2500 0.2500 0.2500 1
Ge1 Ge 0.0000 0.0000 0.0000 1
As1 As 0.0000 0.0000 0.5000 1
# - Density: 7.31 g/cm³
# - Size of the total moment: 0.0 μB/f.u.
# - Energy relative to the elements: -767.5 meV per atom